Record 1
The following is a PBE calculation of a relaxed Y2UFe3 crystal, from Alexandria.

a b c (Å): 11.225 3.684 6.986
angles (deg): 90.00 125.56 90.00
Space group Cm (No. 8)
Asymmetric unit:
Y (0.000, 0.000, 0.000) x2
Y (0.169, 0.000, 0.643) x2
U (0.314, 0.500, 0.383) x2
Fe (0.214, 0.500, 0.008) x2
Fe (0.401, 0.000, 0.211) x2
Fe (0.440, 0.000, 0.621) x2

Computed properties:
- VASP energy (eV per atom) = -8.2972

Record 2
The following is a PBE calculation of a relaxed Cs6PdAu2 crystal, from Alexandria.

a b c (Å): 22.678 5.267 10.488
angles (deg): 90.00 103.34 90.00
Space group C2/m (No. 12)
Asymmetric unit:
Cs (0.003, 0.000, 0.220) x4
Cs (0.155, 0.500, 0.093) x4
Cs (0.169, 0.500, 0.574) x4
Pd (0.000, 0.500, 0.000) x2
Au (0.169, 0.000, 0.340) x4

Computed properties:
- VASP energy (eV per atom) = -1.9937

Record 3
The following is a PBE calculation of a relaxed Zr12Tl3Zn crystal, from Alexandria.

a b c (Å): 4.461 4.461 17.786
angles (deg): 90.00 90.00 90.00
Space group P4/mmm (No. 123)
Asymmetric unit:
Zr (0.000, 0.000, 0.000) x1
Zr (0.000, 0.000, 0.246) x2
Zr (0.000, 0.000, 0.500) x1
Zr (0.000, 0.500, 0.119) x4
Zr (0.000, 0.500, 0.373) x4
Tl (0.500, 0.500, 0.246) x2
Tl (0.500, 0.500, 0.500) x1
Zn (0.500, 0.500, 0.000) x1

Computed properties:
- VASP energy (eV per atom) = -7.0506

Record 4
The following is a PBE calculation of a relaxed PrPu5Au6 crystal, from Alexandria.

a b c (Å): 9.009 15.442 5.144
angles (deg): 90.00 124.76 90.00
Space group C2/m (No. 12)
Asymmetric unit:
Pr (0.000, 0.000, 0.000) x2
Pu (0.000, 0.174, 0.500) x4
Pu (0.000, 0.337, 0.000) x4
Pu (0.000, 0.500, 0.500) x2
Au (0.244, 0.000, 0.743) x4
Au (0.246, 0.166, 0.246) x8

Computed properties:
- VASP energy (eV per atom) = -8.4513

Record 5
The following is a PBE calculation of a relaxed TlGeRhO2 crystal, from Alexandria.

a b c (Å): 3.969 3.969 5.221
angles (deg): 90.00 90.00 90.00
Space group P4/mmm (No. 123)
Asymmetric unit:
Tl (0.000, 0.000, 0.000) x1
Ge (0.500, 0.500, 0.000) x1
Rh (0.500, 0.500, 0.500) x1
O (0.000, 0.500, 0.500) x2

Computed properties:
- formation energy (no corrections) (eV/atom) = -0.14

Record 6
The following is a PBE calculation of a relaxed TbPr2Eu crystal, from Alexandria.

a b c (Å): 5.248 5.248 5.192
angles (deg): 90.00 90.00 90.00
Space group P4/mmm (No. 123)
Asymmetric unit:
Tb (0.000, 0.000, 0.000) x1
Pr (0.000, 0.500, 0.500) x2
Eu (0.500, 0.500, 0.000) x1

Computed properties:
- VASP energy (eV per atom) = -6.0518

Record 7
The following is a PBE calculation of a relaxed BaNiTe2 crystal, from Alexandria.

a b c (Å): 5.249 5.249 4.241
angles (deg): 90.00 90.00 90.00
Space group P4/mmm (No. 123)
Asymmetric unit:
Ba (0.000, 0.000, 0.000) x1
Ni (0.500, 0.500, 0.000) x1
Te (0.000, 0.500, 0.500) x2

Computed properties:
- formation energy (no corrections) (eV/atom) = -0.22

Record 8
The following is a PBE calculation of a relaxed AcZn4Cu2 crystal, from Alexandria.

a b c (Å): 8.583 6.849 5.271
angles (deg): 90.00 127.33 90.00
Space group C2/m (No. 12)
Asymmetric unit:
Ac (0.000, 0.000, 0.000) x2
Zn (0.190, 0.190, 0.689) x8
Cu (0.001, 0.500, 0.751) x4

Computed properties:
- VASP energy (eV per atom) = -2.6142

Record 9
The following is a PBE calculation of a relaxed NaAu3 crystal, from Alexandria.

a b c (Å): 2.897 4.986 5.165
angles (deg): 90.00 90.00 90.00
Space group Pmm2 (No. 25)
Asymmetric unit:
Na (0.000, 0.000, 0.000) x1
Au (0.000, 0.500, 0.670) x1
Au (0.500, 0.000, 0.501) x1
Au (0.500, 0.500, 0.175) x1

Computed properties:
- VASP energy (eV per atom) = -2.9627

Record 10
The following is a PBE calculation of a relaxed Cu5AsO8 crystal, from Alexandria.

a b c (Å): 8.418 8.418 8.418
angles (deg): 90.00 90.00 90.00
Space group F-43m (No. 216)
Asymmetric unit:
Cu (0.000, 0.000, 0.000) x4
Cu (0.128, 0.128, 0.628) x16
As (0.250, 0.250, 0.250) x4
O (0.128, 0.128, 0.372) x16
O (0.133, 0.133, 0.867) x16

Computed properties:
- formation energy (no corrections) (eV/atom) = -0.59

Record 11
The following is a PBE calculation of a relaxed LuFeC crystal, from Alexandria.

a b c (Å): 3.3933 3.3933 3.8917
angles (deg): 90.00 90.00 120.00
Space group P-6m2 (No. 187)
Asymmetric unit:
Lu (0.0000, 0.0000, 0.0000) x1
Fe (0.3333, 0.6667, 0.5000) x1
C (0.6667, 0.3333, 0.5000) x1

Computed properties:
- VASP energy (eV per atom) = -7.4702

Record 12
The following is a PBE calculation of a relaxed Ba3NdCd2O6 crystal, from Alexandria.

a b c (Å): 6.4437 6.4437 7.0660
angles (deg): 90.00 90.00 120.00
Space group P-3m1 (No. 164)
Asymmetric unit:
Ba (0.0000, 0.0000, 0.0000) x1
Ba (0.3333, 0.6667, 0.6076) x2
Nd (0.0000, 0.0000, 0.5000) x1
Cd (0.3333, 0.6667, 0.1412) x2
O (0.1670, 0.3340, 0.3024) x6

Computed properties:
- formation energy (no corrections) (eV/atom) = -2.00

Number 1: spin magnetization 4.04 μB/cell. Number 2: spin magnetization 0.00 μB/cell. Number 3: spin magnetization 0.00 μB/cell. Number 4: spin magnetization 58.40 μB/cell. Number 5: spin magnetization 1.37 μB/cell. Number 6: spin magnetization 7.09 μB/cell. Number 7: spin magnetization 0.56 μB/cell. Number 8: spin magnetization 0.00 μB/cell. Number 9: spin magnetization 0.00 μB/cell. Number 10: spin magnetization 24.33 μB/cell. Number 11: spin magnetization 0.08 μB/cell. Number 12: spin magnetization 0.43 μB/cell.